An optimized crystal structure of Ta2VCu. Source: the Alexandria database, functional PBE-GGA.

Properties
Density of states at the Fermi level in states/eV per atom: 1.318
Total DFT energy (no corrections) in eV/cell: -36.7
Magnetization in Bohr magnetons per cell: 0.00
Calculated formation energy in eV/atom: 0.07
Symmetry: P4/mmm, No. 123
Polymorph energy (0 for the lowest one) in meV/atom: 0
Mass density in g cm⁻³: 12.72

Cell: 3.216 3.216 6.015 Å, 90.00 90.00 90.00°
Atoms (fractional coordinates):
Ta 0.000 0.000 0.246
Ta 0.000 0.000 0.754
V 0.500 0.500 0.000
Cu 0.500 0.500 0.500

=====

An optimized crystal structure of TaVZn2Cu. Source: the Alexandria database, functional PBE-GGA.

Properties
Density of states at the Fermi level in states/eV per atom: 2.291
Total DFT energy (no corrections) in eV/cell: -19.1
Magnetization in Bohr magnetons per cell: 0.12
Calculated formation energy in eV/atom: 1.71
Symmetry: P4/mmm, No. 123
Mass density in g cm⁻³: 6.37

Cell: 4.898 4.898 4.634 Å, 90.00 90.00 90.00°
Atoms (fractional coordinates):
Ta 0.000 0.000 0.000
V 0.500 0.500 0.500
Zn 0.000 0.500 0.000
Zn 0.500 0.000 0.000
Cu 0.000 0.000 0.500